Li2GeP2 | GGA-PBE | optimized geometry

As for the total magnetic moment: 0.0 μB per formula unit. Its electronic total energy is -4.17 eV per atom. Its space group is P-1, No. 2. The calculated formation energy comes out at -316 meV/atom. Its crystal system is triclinic.

Structure (POSCAR):
```
Li2GeP2
1.0
3.612 0.647 1.120
2.799 10.023 0.703
0.431 0.268 5.672
Li Ge P
4 2 4
direct
0.674 0.361 0.233
0.958 0.957 0.786
0.042 0.043 0.214
0.326 0.639 0.767
0.249 0.651 0.283
0.751 0.349 0.717
0.542 0.794 0.977
0.478 0.193 0.630
0.458 0.206 0.023
0.522 0.807 0.370
```

Li2GeP2 | GGA-PBE | optimized geometry

As for the total magnetic moment: 0.0 μB per formula unit. The calculation puts the density of states at the Fermi level at 0.20 states/eV/atom. Its electronic total energy is -4.04 eV per atom. Its space group is I4/mmm, No. 139. The calculated formation energy comes out at -184 meV/atom. Its crystal system is tetragonal.

Structure (POSCAR):
```
Li2GeP2
1.0
4.004 0.000 0.000
0.000 4.004 0.000
2.002 2.002 5.073
P Ge Li
2 1 2
direct
0.394 0.394 0.213
0.606 0.606 0.787
0.000 0.000 0.000
0.750 0.250 0.500
0.250 0.750 0.500
```

Li2GePPt6 | GGA-PBE | optimized geometry

As for the total magnetic moment: 0.0 μB per formula unit. The calculation puts the density of states at the Fermi level at 0.18 states/eV/atom. Its electronic total energy is -5.37 eV per atom. Its space group is Pmmn, No. 59. The calculated formation energy comes out at -360 meV/atom. Its crystal system is orthorhombic.

Structure (POSCAR):
```
Li2GePPt6
1.0
-3.616 1.386 -4.101
2.796 -5.783 -4.420
-5.775 -5.312 3.296
Li Ge P Pt
4 2 2 12
direct
0.500 0.722 0.268
0.000 0.278 0.768
0.500 0.722 0.732
0.000 0.278 0.232
0.000 0.720 0.500
0.500 0.280 0.000
0.500 0.242 0.500
0.000 0.758 0.000
0.500 0.113 0.250
0.500 0.113 0.750
0.000 0.887 0.250
0.000 0.887 0.750
0.243 0.002 0.500
0.757 0.002 0.500
0.233 0.454 0.500
0.767 0.454 0.500
0.733 0.546 0.000
0.267 0.546 0.000
0.257 0.998 0.000
0.743 0.998 0.000
```

RbLiGeP2 | GGA-PBE | optimized geometry

As for the total magnetic moment: 0.0 μB per formula unit. The calculation puts the density of states at the Fermi level at 0.08 states/eV/atom. Its electronic total energy is -4.03 eV per atom. Its space group is C2/m, No. 12. The calculated formation energy comes out at -369 meV/atom. Its crystal system is monoclinic.

Structure (POSCAR):
```
RbLiGeP2
1.0
-1.985 -3.398 0.271
6.679 -1.611 0.027
-1.217 1.471 9.550
Rb Li Ge P
2 2 2 4
direct
0.353 0.705 0.341
0.647 0.295 0.659
0.689 0.378 0.066
0.311 0.622 0.934
0.056 0.112 0.157
0.944 0.888 0.843
0.384 0.769 0.705
0.616 0.231 0.295
0.119 0.238 0.940
0.881 0.762 0.060
```

RbLi2GeP | GGA-PBE | optimized geometry

As for the total magnetic moment: 2.2 μB per formula unit. The calculation puts the density of states at the Fermi level at 0.66 states/eV/atom. Its electronic total energy is -2.43 eV per atom. Its space group is P4/mmm, No. 123. The calculated formation energy comes out at 531 meV/atom. Its crystal system is tetragonal.

Structure (POSCAR):
```
RbLi2GeP
1.0
-4.945 0.310 -1.043
1.290 -0.336 -6.219
-0.358 -5.047 0.198
P Ge Rb Li
1 1 1 2
direct
0.500 0.500 0.500
0.000 0.000 0.000
0.000 0.500 0.000
0.000 0.000 0.500
0.500 0.000 0.000
```

Li10GeP2S12 | GGA-PBE | optimized geometry

As for the total magnetic moment: 0.0 μB per formula unit. The calculation puts the density of states at the Fermi level at 0.00 states/eV/atom. Its electronic total energy is -4.31 eV per atom. The energy relative to the elements, uncorrected comes out at -949 meV/atom. Its space group is P4_2mc, No. 105. Its crystal system is tetragonal.

Structure (POSCAR):
```
Li10GeP2S12
1.0
8.815 0.000 0.000
0.000 8.815 0.000
0.000 0.000 12.687
Li Ge P S
20 2 4 24
direct
0.232 0.272 0.297
0.768 0.728 0.297
0.272 0.768 0.797
0.728 0.232 0.797
0.232 0.728 0.297
0.768 0.272 0.297
0.272 0.232 0.797
0.728 0.768 0.797
0.000 0.000 0.938
0.000 0.000 0.438
0.500 0.500 0.548
0.500 0.500 0.048
0.256 0.721 0.040
0.744 0.279 0.040
0.279 0.256 0.540
0.721 0.744 0.540
0.279 0.744 0.540
0.721 0.256 0.540
0.256 0.279 0.040
0.744 0.721 0.040
0.500 0.500 0.800
0.500 0.500 0.300
0.000 0.000 0.684
0.000 0.000 0.184
0.000 0.500 0.502
0.500 0.000 0.002
0.000 0.694 0.410
0.000 0.306 0.410
0.306 0.000 0.910
0.694 0.000 0.910
0.500 0.189 0.095
0.500 0.811 0.095
0.189 0.500 0.595
0.811 0.500 0.595
0.000 0.806 0.092
0.000 0.194 0.092
0.194 0.000 0.592
0.806 0.000 0.592
0.500 0.291 0.403
0.500 0.709 0.403
0.291 0.500 0.903
0.709 0.500 0.903
0.000 0.191 0.775
0.000 0.809 0.775
0.809 0.000 0.275
0.191 0.000 0.275
0.500 0.707 0.698
0.500 0.293 0.698
0.707 0.500 0.198
0.293 0.500 0.198
```